Below is an optimized crystal structure of YNi2Br, with properties calculated at the PBE-GGA level.

It has space group R-3m (No. 166, hexagonal axes), with a = 3.6162 Å, b = 3.6162 Å, c = 20.6230 Å, α = 90.00°, β = 90.00° and γ = 120.00°. The asymmetric unit holds Y at (0.0000, 0.0000, 0.0000), Ni at (0.0000, 0.0000, 0.2449) and Br at (0.0000, 0.0000, 0.5000).

For the energy above the most stable polymorph in this dataset, the calculation gives 0.645 eV per atom. Its calculated volume is 77.9 Å³/f.u. The energy relative to the elements, uncorrected comes out at 0.69 eV per formula unit.